DFT (PBE) results for an optimized crystal structure of LaTb2ThS4.

Cell lengths 6.907, 3.971, 7.032 Å; angles 90.00, 109.02, 90.00 degrees
Element x y z (fractional)
La: 0.000 0.000 0.000
Tb: 0.000 0.500 0.500
Tb: 0.500 0.000 0.500
Th: 0.500 0.500 0.000
S: 0.248 0.000 0.736
S: 0.258 0.500 0.266
S: 0.742 0.500 0.734
S: 0.752 0.000 0.264

- Calculated volume: 22.80 Å³/atom
- Density: 7.44 g/cm³
- Uncorrected energy: -54.12 eV for the cell shown

***

DFT (PBE) results for an optimized crystal structure of CeLuCu2.

Cell lengths 3.379, 3.379, 7.215 Å; angles 90.00, 90.00, 90.00 degrees
Element x y z (fractional)
Ce: 0.000 0.000 0.000
Lu: 0.000 0.000 0.500
Cu: 0.500 0.500 0.276
Cu: 0.500 0.500 0.724

- Calculated volume: 20.60 Å³/atom
- ΔH_f (0 K): -0.167 eV per atom
- Density: 8.91 g/cm³
- E above lowest polymorph: 0.00 eV per formula unit
- Uncorrected energy: -19.32 eV for the cell shown

***

DFT (PBE) results for an optimized crystal structure of SiRuIN2.

Cell lengths 3.571, 3.571, 7.234 Å; angles 90.00, 90.00, 90.00 degrees
Element x y z (fractional)
Si: 0.000 0.000 0.000
Ru: 0.500 0.500 0.500
I: 0.000 0.000 0.500
N: 0.000 0.500 0.000
N: 0.500 0.000 0.000

- Calculated volume: 18.45 Å³/atom
- Density: 5.11 g/cm³
- E above lowest polymorph: 0.00 eV per formula unit
- Uncorrected energy: -27.14 eV for the cell shown

***

DFT (PBE) results for an optimized crystal structure of AlSi2Tc.

Cell lengths 3.229, 3.229, 5.216 Å; angles 90.00, 90.00, 90.00 degrees
Element x y z (fractional)
Al: 0.000 0.000 0.000
Si: 0.000 0.000 0.496
Si: 0.500 0.500 0.247
Tc: 0.500 0.500 0.731

- Calculated volume: 13.60 Å³/atom
- Density: 5.53 g/cm³
- Uncorrected energy: -25.77 eV for the cell shown

***

DFT (PBE) results for an optimized crystal structure of Pm3Pr6Er2In.

Cell lengths 6.306, 6.306, 11.915 Å; angles 95.20, 95.20, 120.32 degrees
Element x y z (fractional)
Pm: 0.000 0.000 0.000
Pm: 0.331 0.669 0.000
Pm: 0.669 0.331 0.000
Pr: 0.094 0.421 0.258
Pr: 0.254 0.254 0.745
Pr: 0.421 0.094 0.258
Pr: 0.579 0.906 0.742
Pr: 0.746 0.746 0.255
Pr: 0.906 0.579 0.742
Er: 0.165 0.835 0.500
Er: 0.835 0.165 0.500
In: 0.500 0.500 0.500

- Calculated volume: 33.52 Å³/atom
- ΔH_f (0 K): -0.027 eV per atom
- Density: 7.14 g/cm³
- Uncorrected energy: -55.11 eV for the cell shown

***

DFT (PBE) results for an optimized crystal structure of Co2IrPb.

Cell lengths 4.420, 4.420, 4.420 Å; angles 60.00, 60.00, 60.00 degrees
Element x y z (fractional)
Co: 0.000 0.000 0.000
Co: 0.250 0.250 0.250
Ir: 0.500 0.500 0.500
Pb: 0.750 0.750 0.750

- Calculated volume: 15.27 Å³/atom
- ΔH_f (0 K): 0.488 eV per atom
- Density: 14.06 g/cm³
- Uncorrected energy: -24.83 eV for the cell shown